*a*
DFT (PBE) results for a geometry-optimized LiEuH structure.

Lattice parameters (Å, degrees): 5.510 5.510 8.732 90.02 90.00 90.00
Positions (direct):
Eu (0.500, 0.250, 0.652)
Eu (0.000, 0.250, 0.348)
Eu (0.500, 0.750, 0.348)
Eu (0.000, 0.750, 0.652)
H (0.250, 0.000, 0.500)
H (0.250, 0.500, 0.500)
H (0.750, 0.000, 0.500)
H (0.750, 0.500, 0.500)
Li (0.999, 0.750, 0.066)
Li (0.501, 0.250, 0.066)
Li (0.001, 0.250, 0.934)
Li (0.499, 0.750, 0.934)

- volume (Å³/atom) = 22.1

*b*
DFT (PBE) results for a geometry-optimized LiEuH structure.

Lattice parameters (Å, degrees): 5.798 3.522 3.522 120.00 90.00 90.00
Positions (direct):
Eu (0.762, 0.667, 0.333)
H (0.998, 0.000, 0.000)
Li (0.240, 0.333, 0.667)

- volume (Å³/atom) = 20.8

Of them, the most stable is *a* and the least stable is *b*.

*a*
DFT (PBE) results for a geometry-optimized EuMg2H6 structure.

Lattice parameters (Å, degrees): 5.359 5.359 5.359 60.00 60.00 60.00
Positions (direct):
Eu (0.000, 0.000, 0.000)
Mg (0.750, 0.750, 0.750)
Mg (0.250, 0.250, 0.250)
H (0.281, 0.719, 0.719)
H (0.719, 0.719, 0.281)
H (0.719, 0.281, 0.719)
H (0.719, 0.281, 0.281)
H (0.281, 0.281, 0.719)
H (0.281, 0.719, 0.281)

- volume (Å³/atom) = 12.1

*b*
DFT (PBE) results for a geometry-optimized EuMg2H6 structure.

Lattice parameters (Å, degrees): 3.712 3.712 7.958 90.00 90.00 90.00
Positions (direct):
Eu (0.000, 0.000, 0.000)
Mg (0.500, 0.500, 0.726)
Mg (0.500, 0.500, 0.274)
H (0.500, 0.000, 0.794)
H (0.000, 0.500, 0.794)
H (0.500, 0.000, 0.206)
H (0.000, 0.500, 0.206)
H (0.500, 0.500, 0.000)
H (0.500, 0.500, 0.500)

- volume (Å³/atom) = 12.2

Of them, the most stable is *b* and the least stable is *a*.

*a*
DFT (PBE) results for a geometry-optimized NaEuH structure.

Lattice parameters (Å, degrees): 3.451 3.451 7.319 103.64 103.64 90.00
Positions (direct):
Eu (0.736, 0.736, 0.472)
Na (0.010, 0.010, 0.021)
H (0.254, 0.254, 0.508)

- volume (Å³/atom) = 27.4

*b*
DFT (PBE) results for a geometry-optimized NaEuH structure.

Lattice parameters (Å, degrees): 3.724 3.724 6.360 90.00 90.00 120.00
Positions (direct):
Eu (0.667, 0.333, 0.446)
Na (0.000, 0.000, 0.937)
H (0.333, 0.667, 0.617)

- volume (Å³/atom) = 25.5

Of them, the most stable is *b* and the least stable is *a*.

*a*
DFT (PBE) results for a geometry-optimized Eu2HO structure.

Lattice parameters (Å, degrees): 3.173 3.173 6.343 90.00 90.00 90.00
Positions (direct):
Eu (0.000, 0.000, 0.764)
Eu (0.000, 0.000, 0.236)
H (0.500, 0.500, 0.500)
O (0.500, 0.500, 0.000)

- volume (Å³/atom) = 16.0

*b*
DFT (PBE) results for a geometry-optimized Eu2HO structure.

Lattice parameters (Å, degrees): 3.650 3.650 6.339 73.27 73.27 60.00
Positions (direct):
Eu (0.255, 0.255, 0.236)
Eu (0.745, 0.745, 0.764)
H (0.500, 0.500, 0.500)
O (0.000, 0.000, 0.000)

- volume (Å³/atom) = 17.2

Of them, the most stable is *b* and the least stable is *a*.

*a*
DFT (PBE) results for a geometry-optimized Eu2HPd structure.

Lattice parameters (Å, degrees): 4.031 4.031 6.968 73.19 73.19 60.00
Positions (direct):
Eu (0.759, 0.759, 0.724)
Eu (0.241, 0.241, 0.276)
H (0.500, 0.500, 0.500)
Pd (0.000, 0.000, 0.000)

- volume (Å³/atom) = 23.1

*b*
DFT (PBE) results for a geometry-optimized Eu2HPd structure.

Lattice parameters (Å, degrees): 3.460 3.460 7.190 90.00 90.00 90.00
Positions (direct):
Eu (0.000, 0.000, 0.741)
Eu (0.000, 0.000, 0.259)
H (0.500, 0.500, 0.500)
Pd (0.500, 0.500, 0.000)

- volume (Å³/atom) = 21.5

Of them, the most stable is *a* and the least stable is *b*.

*a*
DFT (PBE) results for a geometry-optimized Eu2SbH structure.

Lattice parameters (Å, degrees): 4.658 4.658 6.281 68.24 68.24 60.00
Positions (direct):
Eu (0.765, 0.765, 0.705)
Eu (0.235, 0.235, 0.295)
Sb (0.000, 0.000, 0.000)
H (0.500, 0.500, 0.500)

- volume (Å³/atom) = 26.7

*b*
DFT (PBE) results for a geometry-optimized Eu2SbH structure.

Lattice parameters (Å, degrees): 3.832 5.314 5.314 90.00 90.00 90.00
Positions (direct):
Eu (0.000, 0.000, 0.500)
Eu (0.000, 0.500, 0.000)
Sb (0.500, 0.500, 0.500)
H (0.500, 0.000, 0.000)

- volume (Å³/atom) = 27.1

Of them, the most stable is *a* and the least stable is *b*.

*a*
DFT (PBE) results for a geometry-optimized Eu2HSe structure.

Lattice parameters (Å, degrees): 4.099 4.099 6.985 72.94 72.94 60.00
Positions (direct):
Eu (0.759, 0.759, 0.723)
Eu (0.241, 0.241, 0.277)
H (0.500, 0.500, 0.500)
Se (0.000, 0.000, 0.000)

- volume (Å³/atom) = 23.9

*b*
DFT (PBE) results for a geometry-optimized Eu2HSe structure.

Lattice parameters (Å, degrees): 3.633 3.633 6.918 90.00 90.00 90.00
Positions (direct):
Eu (0.000, 0.000, 0.746)
Eu (0.000, 0.000, 0.254)
H (0.500, 0.500, 0.500)
Se (0.500, 0.500, 0.000)

- volume (Å³/atom) = 22.8

Of them, the most stable is *a* and the least stable is *b*.

*a*
DFT (PBE) results for a geometry-optimized SrEuH structure.

Lattice parameters (Å, degrees): 3.954 3.954 6.381 90.00 90.00 120.00
Positions (direct):
Eu (0.333, 0.667, 0.565)
Sr (0.000, 0.000, 0.091)
H (0.667, 0.333, 0.344)

- volume (Å³/atom) = 28.8

*b*
DFT (PBE) results for a geometry-optimized SrEuH structure.

Lattice parameters (Å, degrees): 3.650 3.650 7.322 104.43 104.43 90.00
Positions (direct):
Eu (0.033, 0.033, 0.066)
Sr (0.754, 0.754, 0.509)
H (0.213, 0.213, 0.426)

- volume (Å³/atom) = 30.4

Of them, the most stable is *a* and the least stable is *b*.